(1)
TiMnCrB: relaxed, PBE-GGA.

Unit cell a=5.1573 b=4.0631 c=4.2915 alpha=90.00 beta=97.31 gamma=90.00
Atoms (fractional coordinates):
B 0.6912 0.5000 0.3361
B 0.6912 0.0000 0.8361
Cr 0.8694 0.5000 0.8048
Cr 0.8694 0.0000 0.3048
Mn 0.4814 0.0000 0.4041
Mn 0.4814 0.5000 0.9041
Ti 0.1826 0.5000 0.3533
Ti 0.1826 0.0000 0.8533

Results
Its formation energy is -0.11 eV/atom. The space group is Cm, No. 8.

=====

(2)
TaP2Rh: relaxed, PBE-GGA.

Unit cell a=4.3070 b=4.3070 c=4.3070 alpha=60.00 beta=60.00 gamma=60.00
Atoms (fractional coordinates):
P 0.2500 0.2500 0.2500
P 0.7500 0.7500 0.7500
Rh 0.0000 0.0000 0.0000
Ta 0.5000 0.5000 0.5000

Results
Its formation energy is -0.39 eV/atom. The space group is Fm-3m, No. 225.

=====

(3)
VZn2CrCd: relaxed, PBE-GGA.

Unit cell a=4.8597 b=4.1789 c=4.8597 alpha=90.00 beta=90.00 gamma=90.00
Last column: magnetic moment on the atom in μB.
Atoms (fractional coordinates):
Zn 0.5000 0.0000 0.0000  -0.06
Zn 0.0000 0.0000 0.5000  -0.04
V 0.0000 0.0000 0.0000  -1.22
Cd 0.5000 0.5000 0.5000  -0.01
Cr 0.0000 0.5000 0.0000  2.22

Results
Its formation energy is 0.85 eV/atom. The space group is P4/mmm, No. 123.

=====

(4)
Bi2HN: relaxed, PBE-GGA.

Unit cell a=4.5757 b=4.5757 c=4.5757 alpha=60.00 beta=60.00 gamma=60.00
Atoms (fractional coordinates):
Bi 0.2500 0.2500 0.2500
Bi 0.7500 0.7500 0.7500
N 0.5000 0.5000 0.5000
H 0.0000 0.0000 0.0000

Results
The space group is Fm-3m, No. 225.

=====

no.,excess energy over the best structure of this formula in the dataset (meV per atom)
1,8
2,153
3,0
4,353